[1]
The following is a PBEsol calculation of a relaxed structure of Ba2In2O5, from the Alexandria database.

a b c (Å): 10.410 5.971 10.411
angles (deg): 90.00 113.26 90.00
Space group C2/c (No. 15)
Inequivalent atoms, fractional coordinates:
Ba  0.000  0.229  0.250 (multiplicity 4)
Ba  0.250  0.250  0.000 (multiplicity 4)
In  0.139  0.230  0.639 (multiplicity 8)
O  0.000  0.000  0.000 (multiplicity 4)
O  0.000  0.251  0.750 (multiplicity 4)
O  0.199  0.443  0.204 (multiplicity 8)
O  0.250  0.250  0.500 (multiplicity 4)

Properties
Energy relative to the elements, uncorrected = -2.0357 eV/atom
Electronic total energy = -6.09 eV/atom


[2]
The following is a PBEsol calculation of a relaxed structure of Ba2InOsO6, from the Alexandria database.

a b c (Å): 8.229 8.229 8.229
angles (deg): 90.00 90.00 90.00
Space group Fm-3m (No. 225)
Inequivalent atoms, fractional coordinates:
Ba  0.250  0.250  0.250 (multiplicity 8)
In  0.000  0.000  0.000 (multiplicity 4)
Os  0.000  0.000  0.500 (multiplicity 4)
O  0.000  0.000  0.260 (multiplicity 24)

Properties
Energy relative to the elements, uncorrected = -1.9436 eV/atom
Electronic total energy = -7.04 eV/atom


[3]
The following is a PBEsol calculation of a relaxed structure of BaIn2P4O14, from the Alexandria database.

a b c (Å): 10.957 10.682 9.942
angles (deg): 90.00 103.52 90.00
Space group C2/c (No. 15)
Inequivalent atoms, fractional coordinates:
Ba  0.250  0.250  0.000 (multiplicity 4)
In  0.000  0.000  0.000 (multiplicity 4)
In  0.000  0.446  0.250 (multiplicity 4)
P  0.055  0.310  0.560 (multiplicity 8)
P  0.225  0.044  0.300 (multiplicity 8)
O  0.015  0.179  0.594 (multiplicity 8)
O  0.039  0.403  0.902 (multiplicity 8)
O  0.069  0.320  0.412 (multiplicity 8)
O  0.136  0.086  0.165 (multiplicity 8)
O  0.162  0.013  0.417 (multiplicity 8)
O  0.186  0.436  0.213 (multiplicity 8)
O  0.190  0.330  0.664 (multiplicity 8)

Properties
Energy relative to the elements, uncorrected = -2.2700 eV/atom
Electronic total energy = -7.26 eV/atom


[4]
The following is a PBEsol calculation of a relaxed structure of BaIn2PO, from the Alexandria database.

a b c (Å): 6.326 6.326 4.401
angles (deg): 90.00 90.00 90.00
Space group P4/mmm (No. 123)
Inequivalent atoms, fractional coordinates:
Ba  0.000  0.000  0.000 (multiplicity 1)
In  0.000  0.500  0.000 (multiplicity 2)
P  0.500  0.500  0.500 (multiplicity 1)
O  0.000  0.000  0.500 (multiplicity 1)

Properties
Energy relative to the elements, uncorrected = 0.5427 eV/atom
Electronic total energy = -3.29 eV/atom


[5]
The following is a PBEsol calculation of a relaxed structure of Ba2InReO6, from the Alexandria database.

a b c (Å): 8.238 8.238 8.238
angles (deg): 90.00 90.00 90.00
Space group Fm-3m (No. 225)
Inequivalent atoms, fractional coordinates:
Ba  0.250  0.250  0.250 (multiplicity 8)
In  0.000  0.000  0.000 (multiplicity 4)
Re  0.000  0.000  0.500 (multiplicity 4)
O  0.000  0.000  0.261 (multiplicity 24)

Properties
Energy relative to the elements, uncorrected = -2.1219 eV/atom
Electronic total energy = -7.33 eV/atom


[6]
The following is a PBEsol calculation of a relaxed structure of BaSr2ScInO6, from the Alexandria database.

a b c (Å): 4.104 4.104 20.513
angles (deg): 90.00 90.00 90.00
Space group I4mm (No. 107)
Inequivalent atoms, fractional coordinates:
Ba  0.000  0.000  0.000 (multiplicity 2)
Sr  0.000  0.000  0.638 (multiplicity 2)
Sr  0.000  0.000  0.821 (multiplicity 2)
Sc  0.000  0.000  0.419 (multiplicity 2)
In  0.000  0.000  0.222 (multiplicity 2)
O  0.000  0.000  0.121 (multiplicity 2)
O  0.000  0.000  0.515 (multiplicity 2)
O  0.000  0.500  0.241 (multiplicity 4)
O  0.000  0.500  0.399 (multiplicity 4)

Properties
Energy relative to the elements, uncorrected = -2.6527 eV/atom
Electronic total energy = -6.92 eV/atom


[7]
The following is a PBEsol calculation of a relaxed structure of BaSr2In2O6, from the Alexandria database.

a b c (Å): 4.135 4.135 20.662
angles (deg): 90.00 90.00 90.00
Space group I4mm (No. 107)
Inequivalent atoms, fractional coordinates:
Ba  0.000  0.000  0.000 (multiplicity 2)
Sr  0.000  0.000  0.636 (multiplicity 2)
Sr  0.000  0.000  0.817 (multiplicity 2)
In  0.000  0.000  0.220 (multiplicity 2)
In  0.000  0.000  0.417 (multiplicity 2)
O  0.000  0.000  0.120 (multiplicity 2)
O  0.000  0.000  0.519 (multiplicity 2)
O  0.000  0.500  0.238 (multiplicity 4)
O  0.000  0.500  0.395 (multiplicity 4)

Properties
Energy relative to the elements, uncorrected = -2.1986 eV/atom
Electronic total energy = -6.13 eV/atom


[8]
The following is a PBEsol calculation of a relaxed structure of Ba3In2WO9, from the Alexandria database.

a b c (Å): 5.884 8.325 17.669
angles (deg): 90.00 90.00 90.00
Space group Immm (No. 71)
Inequivalent atoms, fractional coordinates:
Ba  0.000  0.234  0.000 (multiplicity 4)
Ba  0.000  0.259  0.338 (multiplicity 8)
In  0.000  0.000  0.170 (multiplicity 4)
In  0.000  0.000  0.500 (multiplicity 2)
In  0.000  0.500  0.500 (multiplicity 2)
W  0.000  0.500  0.167 (multiplicity 4)
O  0.000  0.243  0.500 (multiplicity 4)
O  0.000  0.269  0.171 (multiplicity 8)
O  0.230  0.500  0.090 (multiplicity 8)
O  0.237  0.500  0.244 (multiplicity 8)
O  0.250  0.000  0.087 (multiplicity 8)

Properties
Excess energy over the best structure of this formula in the dataset = 0 meV/atom
Energy relative to the elements, uncorrected = -2.3638 eV/atom
Electronic total energy = -7.26 eV/atom


[9]
The following is a PBEsol calculation of a relaxed structure of Ba3In2WO9, from the Alexandria database.

a b c (Å): 5.8845 5.8845 7.2086
angles (deg): 90.00 90.00 120.00
Space group P-3m1 (No. 164)
Inequivalent atoms, fractional coordinates:
Ba  0.0000  0.0000  0.0000 (multiplicity 1)
Ba  0.3333  0.6667  0.6881 (multiplicity 2)
In  0.3333  0.6667  0.1684 (multiplicity 2)
W  0.0000  0.0000  0.5000 (multiplicity 1)
O  0.0000  0.5000  0.0000 (multiplicity 3)
O  0.1557  0.3114  0.3473 (multiplicity 6)

Properties
Excess energy over the best structure of this formula in the dataset = 9 meV/atom
Energy relative to the elements, uncorrected = -2.3550 eV/atom
Electronic total energy = -7.25 eV/atom


Number 1: spin magnetization 0.00 μB/f.u.. Number 2: spin magnetization 3.02 μB/f.u.. Number 3: spin magnetization 0.00 μB/f.u.. Number 4: spin magnetization 0.67 μB/f.u.. Number 5: spin magnetization 2.00 μB/f.u.. Number 6: spin magnetization 0.00 μB/f.u.. Number 7: spin magnetization 0.00 μB/f.u.. Number 8: spin magnetization 0.00 μB/f.u.. Number 9: spin magnetization 0.00 μB/f.u..